Density functional theory data (PBEsol) for SrSbP2 after structural relaxation.

```
SrSbP2
1.0
3.797 0.000 0.000
0.000 3.899 0.000
0.000 0.000 6.120
P Sr Sb
2 1 1
direct
0.000 0.000 0.190 P
0.000 0.000 0.810 P
0.500 0.500 0.500 Sr
0.500 0.500 0.000 Sb
```

- Formation energy without anion corrections: -0.192 eV per atom
- Spin magnetization: 0.00 μB per formula unit

---

Density functional theory data (PBEsol) for SrSbP2 after structural relaxation.

```
SrSbP2
1.0
6.551 0.138 0.215
-2.572 6.027 -0.215
-2.572 -2.706 5.389
P Sr Sb
4 2 2
direct
0.452 0.375 0.327 P
0.952 0.077 0.625 P
0.048 0.673 0.125 P
0.548 0.875 0.923 P
0.000 0.500 0.500 Sr
0.500 0.250 0.750 Sr
0.500 0.750 0.250 Sb
0.000 0.000 0.000 Sb
```

- Formation energy without anion corrections: -0.214 eV per atom
- Spin magnetization: 0.00 μB per formula unit

---

Density functional theory data (PBEsol) for SrSbP after structural relaxation.

```
SrSbP
1.0
4.188 0.000 0.000
0.000 4.188 0.000
-2.094 -2.094 5.341
Sr P Sb
1 1 1
direct
0.621 0.621 0.242 Sr
0.076 0.076 0.152 P
0.303 0.303 0.606 Sb
```

- Formation energy without anion corrections: -0.435 eV per atom
- Spin magnetization: 0.00 μB per formula unit

---

Density functional theory data (PBEsol) for Ta3SbP after structural relaxation.

```
Ta3SbP
1.0
4.960 0.000 0.000
0.000 4.960 0.000
0.000 0.000 4.960
Ta Sb P
3 1 1
direct
0.000 0.000 0.500 Ta
0.500 0.000 0.000 Ta
0.000 0.500 0.000 Ta
0.000 0.000 0.000 Sb
0.500 0.500 0.500 P
```

- Formation energy without anion corrections: 2.240 eV per atom
- Spin magnetization: 0.00 μB per formula unit